# 1
This record from Alexandria describes a geometry-optimized CdGe2P2 structure. The functional is PBEsol.

Calculated values
Formation enthalpy at 0 K ... 0.3528 eV per atom
Volume ... 19.0 A^3/atom

a b c (Å): 3.755 3.755 7.251
angles (deg): 105.01 105.01 90.00
Fractional coordinates of all 5 atoms:
Ge: 0.386 0.386 0.772
Ge: 0.614 0.614 0.228
P: 0.250 0.750 0.500
P: 0.750 0.250 0.500
Cd: 0.000 0.000 0.000


# 2
This record from Alexandria describes a geometry-optimized Ta2CdGePb structure. The functional is PBEsol.

Calculated values
Formation enthalpy at 0 K ... 1.8400 eV per atom
Volume ... 24.5 A^3/atom

a b c (Å): 4.657 5.134 5.134
angles (deg): 90.00 90.00 90.00
Last column: magnetic moment on the atom in μB.
Fractional coordinates of all 5 atoms:
Pb: 0.500 0.500 0.500  0.00
Ta: 0.000 0.500 0.000  0.28
Ta: 0.000 0.000 0.500  0.28
Ge: 0.500 0.000 0.000  0.01
Cd: 0.000 0.000 0.000  0.03


# 3
This record from Alexandria describes a geometry-optimized Cd3GePd structure. The functional is PBEsol.

Calculated values
Formation enthalpy at 0 K ... 0.6660 eV per atom
Volume ... 24.5 A^3/atom

a b c (Å): 4.964 4.964 4.964
angles (deg): 90.00 90.00 90.00
Fractional coordinates of all 5 atoms:
Ge: 0.000 0.000 0.000
Pd: 0.500 0.500 0.500
Cd: 0.000 0.500 0.000
Cd: 0.000 0.000 0.500
Cd: 0.500 0.000 0.000